B2Ir2Pd | GGA-PBEsol | relaxed Values from VASP.

Cell and atoms, written as Quantum ESPRESSO input:
```
&SYSTEM
  ibrav = 0, nat = 10, ntyp = 3
/
ATOMIC_SPECIES
B 10.81 B.upf
Ir 192.22 Ir.upf
Pd 106.42 Pd.upf
CELL_PARAMETERS angstrom
2.698 0.000 0.000
0.000 6.366 0.000
0.000 0.000 6.366
ATOMIC_POSITIONS angstrom
B 0.000 2.246 5.429
B 0.000 5.429 4.119
B 0.000 4.119 0.937
B 0.000 0.937 2.246
Ir 1.349 0.953 4.135
Ir 1.349 4.135 5.413
Ir 1.349 5.413 2.230
Ir 1.349 2.230 0.953
Pd 0.000 0.000 0.000
Pd 0.000 3.183 3.183
```

Energy = -7.959 eV per atom
Volume = 109 Å³/cell
Total magnetization = 0.00 μB/f.u.
DOS(E_F) = 2.38 states/eV/f.u.
Mass density = 15.6 g/cm³
Formation energy from the elements = -31 meV per atom